Entry 1:
# BaSrMo2P

A relaxed structure of BaSrMo2P (GGA-PBE, Alexandria).

a b c (Å): 5.6019 5.6166 5.6019
angles (deg): 90.00 90.00 90.00
Last column: nearest neighbours and their distance in Å.
Positions (direct):
P 0.0000 0.5000 0.0000  2 Sr 2.81
Ba 0.5000 0.5000 0.5000  4 P 3.96, 8 Mo 3.97
Sr 0.0000 0.0000 0.0000  4 Mo 2.80, 2 P 2.81
Mo 0.0000 0.0000 0.5000  2 Sr 2.80
Mo 0.5000 0.0000 0.0000  2 Sr 2.80

Summary:
Formation energy from the elements ... 1847 meV/atom
N(E_F) ... 1.308 states/eV/atom
Symmetry ... P4/mmm, No. 123
Density ... 4219 kg/m3


Entry 2:
# BaTaMoP2

A relaxed structure of BaTaMoP2 (GGA-PBE, Alexandria).

a b c (Å): 4.8708 5.8201 4.8708
angles (deg): 90.00 90.00 90.00
Last column: nearest neighbours and their distance in Å.
Positions (direct):
Mo 0.5000 0.5000 0.5000  4 Ba 3.44, 8 P 3.79
Ba 0.0000 0.5000 0.0000  2 Ta 2.91
P 0.5000 0.0000 0.0000  2 Ta 2.44
P 0.0000 0.0000 0.5000  2 Ta 2.44
Ta 0.0000 0.0000 0.0000  4 P 2.44

Summary:
Formation energy from the elements ... 1149 meV/atom
N(E_F) ... 0.941 states/eV/atom
Symmetry ... P4/mmm, No. 123
Density ... 5726 kg/m3


Entry 3:
# Ba2MoPb

A relaxed structure of Ba2MoPb (GGA-PBE, Alexandria).

a b c (Å): 6.2190 6.2190 5.4372
angles (deg): 64.07 64.07 51.82
Last column: nearest neighbours and their distance in Å.
Positions (direct):
Pb 0.2500 0.2500 0.2500  8 Ba 3.65-3.66, 4 Mo 3.84
Ba 0.0002 0.0002 0.9998  4 Mo 3.65-3.66, 4 Pb 3.65-3.66, 4 Ba 3.84
Ba 0.4998 0.4998 0.5002  4 Mo 3.65-3.66, 4 Pb 3.65-3.66, 4 Ba 3.84
Mo 0.7500 0.7500 0.7500  8 Ba 3.65-3.66, 4 Pb 3.84

Summary:
Formation energy from the elements ... 565 meV/atom
N(E_F) ... 0.281 states/eV/atom
Symmetry ... I4/mmm, No. 139
Density ... 6642 kg/m3


Entry 4:
# Ba2MoPb

A relaxed structure of Ba2MoPb (GGA-PBE, Alexandria).

a b c (Å): 3.8988 3.8988 9.6946
angles (deg): 90.00 90.00 89.97
Last column: nearest neighbours and their distance in Å.
Positions (direct):
Ba 0.5000 0.5000 0.3286  1 Pb 3.36, 4 Mo 3.70
Ba 0.0000 0.0000 0.9127  1 Mo 3.19
Pb 0.5000 0.5000 0.6751  4 Mo 2.90
Mo 0.0000 0.0000 0.5836  4 Pb 2.90, 1 Ba 3.19

Summary:
Formation energy from the elements ... 435 meV/atom
N(E_F) ... 0.747 states/eV/atom
Symmetry ... P4mm, No. 99
Density ... 6511 kg/m3


Entry 5:
# Ba2MoPb

A relaxed structure of Ba2MoPb (GGA-PBE, Alexandria).

a b c (Å): 3.4229 3.4229 10.9321
angles (deg): 90.00 90.00 89.97
Last column: nearest neighbours and their distance in Å.
Positions (direct):
Ba 0.0000 0.0000 0.4793  4 Ba 3.42, 4 Mo 3.48, 4 Pb 3.82
Ba 0.0000 0.0000 0.0207  4 Ba 3.42, 4 Mo 3.48, 4 Pb 3.82
Pb 0.5000 0.5000 0.7500  4 Pb 3.42, 8 Ba 3.82
Mo 0.5000 0.5000 0.2500  4 Mo 3.42, 8 Ba 3.48

Summary:
Formation energy from the elements ... 663 meV/atom
N(E_F) ... 0.619 states/eV/atom
Symmetry ... P4/mmm, No. 123
Density ... 7491 kg/m3


Entry 6:
# Ba2MoPb

A relaxed structure of Ba2MoPb (GGA-PBE, Alexandria).

a b c (Å): 11.0950 11.0950 11.0950
angles (deg): 20.35 20.35 20.35
Last column: nearest neighbours and their distance in Å.
Positions (direct):
Mo 0.2500 0.2500 0.2500  6 Ba 3.34
Ba 0.9919 0.9919 0.9919  3 Mo 3.34
Ba 0.5081 0.5081 0.5081  3 Mo 3.34
Pb 0.7500 0.7500 0.7500  6 Ba 3.74, 6 Pb 3.92

Summary:
Formation energy from the elements ... 761 meV/atom
N(E_F) ... 0.914 states/eV/atom
Symmetry ... R-3m, No. 166
Density ... 6636 kg/m3


Question: Which value of formation energy from the elements does entry 4 give?
Answer: 435 meV/atom